Computed, not measured: crystalline Gd2ErBe at its relaxed geometry at the GGA-PBE level of DFT.

Summary:
Crystal system: trigonal
Offset from the most stable computed form in meV/atom: 593
Energy of formation in eV/atom: 0.681
Energy in eV/cell: -33.73

Cell: 11.5808 11.5808 11.5808 Å, 17.02 17.02 17.02°
Closest atoms and distances in Å follow each position.
Fractional coordinates of all 4 atoms:
Gd  0.0840  0.0840  0.0840  1 Be 2.87
Gd  0.9160  0.9160  0.9160  1 Be 2.87
Er  0.5000  0.5000  0.5000  6 Er 3.43, 6 Gd 3.45
Be  0.0000  0.0000  0.0000  2 Gd 2.87

Computed, not measured: crystalline HgSbS2N at its relaxed geometry at the GGA-PBE level of DFT.

Summary:
Crystal system: tetragonal
Offset from the most stable computed form in meV/atom: 0
Formation energy from raw total energies in eV per atom: 0.80
Energy in eV/cell: -17.03

Cell: 5.1498 5.1498 3.9427 Å, 90.00 90.00 90.00°
Closest atoms and distances in Å follow each position.
Fractional coordinates of all 5 atoms:
Hg  0.0000  0.0000  0.0000  8 S 3.24
Sb  0.5000  0.5000  0.5000  2 N 1.97
S  0.0000  0.5000  0.5000  2 Sb 2.57
S  0.5000  0.0000  0.5000  2 Sb 2.57
N  0.5000  0.5000  0.0000  2 Sb 1.97

Computed, not measured: crystalline CrS2N at its relaxed geometry at the GGA-PBE level of DFT.

Summary:
Crystal system: orthorhombic
Formation energy from raw total energies in eV per atom: 0.44
Energy in eV/cell: -48.85

Cell: 13.2133 13.2133 3.2554 Å, 90.00 90.00 166.49°
Closest atoms and distances in Å follow each position.
Fractional coordinates of all 8 atoms:
Cr  0.1526  0.8474  0.7500  6 S 2.42-2.49
Cr  0.8474  0.1526  0.2500  6 S 2.42-2.49
S  0.3131  0.6869  0.7500  4 Cr 2.42
S  0.4214  0.5786  0.2500  2 N 1.70
S  0.5786  0.4214  0.7500  2 N 1.70
S  0.6869  0.3131  0.2500  4 Cr 2.42
N  0.4397  0.5603  0.7500  2 S 1.70
N  0.5603  0.4397  0.2500  2 S 1.70

Computed, not measured: crystalline BaPuSb2Au2 at its relaxed geometry at the GGA-PBE level of DFT.

Summary:
Crystal system: trigonal
Formation energy from raw total energies in eV per atom: -0.70
Energy in eV/cell: -35.28

Cell: 4.7749 4.7749 8.6883 Å, 90.00 90.00 120.00°
Closest atoms and distances in Å follow each position.
Fractional coordinates of all 6 atoms:
Ba  0.0000  0.0000  0.0000  6 Sb 3.60, 6 Au 3.82
Pu  0.0000  0.0000  0.5000  6 Au 3.24, 6 Sb 3.42
Sb  0.3333  0.6667  0.7328  3 Au 2.78
Sb  0.6667  0.3333  0.2672  3 Au 2.78
Au  0.3333  0.6667  0.3048  3 Sb 2.78
Au  0.6667  0.3333  0.6952  3 Sb 2.78

Computed, not measured: crystalline Ho4Cu2Ir at its relaxed geometry at the GGA-PBE level of DFT.

Summary:
Crystal system: triclinic
Offset from the most stable computed form in meV/atom: 0
Energy of formation in eV/atom: -0.401
Energy in eV/cell: -76.35

Cell: 6.8912 7.4908 7.4927 Å, 105.58 107.00 107.06°
Closest atoms and distances in Å follow each position.
Fractional coordinates of all 14 atoms:
Ho  0.0000  0.0000  0.0000  2 Ir 2.73-2.93, 2 Cu 2.86-2.90
Ho  0.0117  0.9269  0.4395  2 Ir 2.71-2.96, 2 Cu 2.90-2.99
Ho  0.1395  0.3879  0.7756  4 Cu 2.83-3.07, 2 Ir 2.86-2.92
Ho  0.4303  0.8931  0.8162  1 Ir 2.83, 3 Cu 2.91-2.94
Ho  0.5005  0.6137  0.3901  2 Ir 2.73-2.92, 3 Cu 2.85-3.05
Ho  0.5136  0.0544  0.3161  2 Ir 2.71-2.95, 2 Cu 2.89-2.99
Ho  0.6404  0.3904  0.7768  4 Cu 2.84-3.09, 2 Ir 2.87-2.93
Ho  0.9310  0.4275  0.2783  1 Ir 2.83, 3 Cu 2.91-2.94
Cu  0.1159  0.6861  0.0839  5 Ho 2.83-3.09, 1 Cu 2.91
Cu  0.4510  0.2838  0.0483  7 Ho 2.88-3.06, 1 Cu 2.89
Cu  0.6093  0.6962  0.0732  6 Ho 2.84-3.17, 1 Cu 2.89
Cu  0.9507  0.6591  0.6684  7 Ho 2.88-3.05, 1 Cu 2.91
Ir  0.2501  0.2779  0.4256  7 Ho 2.71-2.95
Ir  0.7504  0.0389  0.6667  7 Ho 2.71-2.96

Computed, not measured: crystalline SrCeCd at its relaxed geometry at the GGA-PBE level of DFT.

Summary:
Crystal system: tetragonal
Offset from the most stable computed form in meV/atom: 15
Energy of formation in eV/atom: -0.005
Energy in eV/cell: -8.55

Cell: 7.6265 7.6265 7.6265 Å, 150.92 150.92 41.59°
Closest atoms and distances in Å follow each position.
Fractional coordinates of all 3 atoms:
Sr  0.0000  0.0000  0.0000  4 Cd 3.50, 4 Sr 3.83
Ce  0.2876  0.2876  0.0000  4 Cd 3.30
Cd  0.6551  0.6551  0.0000  4 Ce 3.30, 4 Sr 3.50

Computed, not measured: crystalline KTlAs2 at its relaxed geometry at the GGA-PBE level of DFT.

Summary:
Crystal system: tetragonal
Offset from the most stable computed form in meV/atom: 137
Energy of formation in eV/atom: -0.103
Energy in eV/cell: -13.17

Cell: 3.7984 3.7984 7.7305 Å, 90.00 90.00 90.00°
Closest atoms and distances in Å follow each position.
Fractional coordinates of all 4 atoms:
K  0.0000  0.0000  0.0000  5 As 3.21-3.57
Tl  0.5000  0.5000  0.3322  1 As 2.81
As  0.0000  0.0000  0.5846  4 As 2.82
As  0.5000  0.5000  0.6951  1 Tl 2.81, 4 As 2.82

Computed, not measured: crystalline BaZn3Rh at its relaxed geometry at the GGA-PBE level of DFT.

Summary:
Crystal system: monoclinic
Offset from the most stable computed form in meV/atom: 143
Energy of formation in eV/atom: -0.213
Energy in eV/cell: -56.65

Cell: 8.9878 8.9878 6.4400 Å, 110.38 110.38 74.87°
Closest atoms and distances in Å follow each position.
Fractional coordinates of all 20 atoms:
Ba  0.0016  0.2727  0.4897  1 Rh 3.09, 3 Zn 3.31-3.37
Ba  0.2727  0.0016  0.9897  1 Rh 3.09, 3 Zn 3.31-3.37
Ba  0.7273  0.9984  0.0103  1 Rh 3.09, 3 Zn 3.31-3.37
Ba  0.9984  0.7273  0.5103  1 Rh 3.09, 3 Zn 3.31-3.37
Zn  0.0262  0.3587  0.0435  3 Zn 2.53-2.68, 1 Rh 2.58
Zn  0.2786  0.6056  0.0102  3 Rh 2.55-2.64, 3 Zn 2.59-2.79
Zn  0.2956  0.4115  0.3322  2 Zn 2.53-2.74, 2 Rh 2.59-2.61
Zn  0.3587  0.0262  0.5435  3 Zn 2.53-2.68, 1 Rh 2.58
Zn  0.3944  0.7214  0.4898  3 Rh 2.55-2.64, 3 Zn 2.59-2.79
Zn  0.4115  0.2956  0.8322  2 Zn 2.53-2.74, 2 Rh 2.59-2.61
Zn  0.5885  0.7044  0.1678  2 Zn 2.53-2.74, 2 Rh 2.59-2.61
Zn  0.6056  0.2786  0.5102  3 Rh 2.55-2.64, 3 Zn 2.59-2.79
Zn  0.6413  0.9738  0.4565  3 Zn 2.53-2.68, 1 Rh 2.58
Zn  0.7044  0.5885  0.6678  2 Zn 2.53-2.74, 2 Rh 2.59-2.61
Zn  0.7214  0.3944  0.9898  3 Rh 2.55-2.64, 3 Zn 2.59-2.79
Zn  0.9738  0.6413  0.9565  3 Zn 2.53-2.68, 1 Rh 2.58
Rh  0.1410  0.8590  0.2500  4 Zn 2.55-2.58
Rh  0.4588  0.5412  0.7500  8 Zn 2.55-2.64
Rh  0.5412  0.4588  0.2500  8 Zn 2.55-2.64
Rh  0.8590  0.1410  0.7500  4 Zn 2.55-2.58

Computed, not measured: crystalline Ta2Al2Ga at its relaxed geometry at the GGA-PBE level of DFT.

Summary:
Crystal system: tetragonal
Offset from the most stable computed form in meV/atom: 43
Energy of formation in eV/atom: 0.055
Energy in eV/cell: -67.88

Cell: 6.6324 6.6324 3.7832 Å, 90.00 90.00 90.00°
Closest atoms and distances in Å follow each position.
Fractional coordinates of all 10 atoms:
Ta  0.1719  0.3281  0.0000  6 Al 2.65-2.77
Ta  0.3281  0.8281  0.0000  6 Al 2.65-2.77
Ta  0.6719  0.1719  0.0000  6 Al 2.65-2.77
Ta  0.8281  0.6719  0.0000  6 Al 2.65-2.77
Al  0.1299  0.6299  0.5000  1 Al 2.44, 2 Ga 2.60, 2 Ta 2.65
Al  0.3701  0.1299  0.5000  1 Al 2.44, 2 Ga 2.60, 2 Ta 2.65
Al  0.6299  0.8701  0.5000  1 Al 2.44, 2 Ga 2.60, 2 Ta 2.65
Al  0.8701  0.3701  0.5000  1 Al 2.44, 2 Ga 2.60, 2 Ta 2.65
Ga  0.0000  0.0000  0.5000  4 Al 2.60
Ga  0.5000  0.5000  0.5000  4 Al 2.60

Computed, not measured: crystalline LiCdCo2H at its relaxed geometry at the GGA-PBE level of DFT.

Summary:
Crystal system: tetragonal
Energy in eV/cell: -20.06

Cell: 3.6245 3.6245 4.2130 Å, 90.00 90.00 90.00°
Closest atoms and distances in Å follow each position.
Fractional coordinates of all 5 atoms:
Li  0.0000  0.0000  0.0000  2 H 2.11
Cd  0.5000  0.5000  0.0000  4 Li 2.56, 8 Co 2.78
Co  0.0000  0.5000  0.5000  2 H 1.81
Co  0.5000  0.0000  0.5000  2 H 1.81
H  0.0000  0.0000  0.5000  4 Co 1.81

Computed, not measured: crystalline ReTcW2 at its relaxed geometry at the GGA-PBE level of DFT.

Summary:
Crystal system: orthorhombic
Offset from the most stable computed form in meV/atom: 36
Energy of formation in eV/atom: 0.112
Energy in eV/cell: -48.27

Cell: 5.1932 5.1932 5.1932 Å, 144.80 128.86 63.61°
Closest atoms and distances in Å follow each position.
Fractional coordinates of all 4 atoms:
Re  0.0000  0.0000  0.0000  4 W 2.68, 4 Tc 2.74
Tc  0.5000  0.5000  0.0000  4 W 2.74, 4 Re 2.74
W  0.2461  0.7461  0.5000  2 Re 2.68, 2 Tc 2.74, 4 W 2.74
W  0.7539  0.2539  0.5000  2 Re 2.68, 2 Tc 2.74, 4 W 2.74

Computed, not measured: crystalline K17Cd11In at its relaxed geometry at the GGA-PBE level of DFT.

Summary:
Crystal system: monoclinic
Energy of formation in eV/atom: -0.010
Energy in eV/cell: -31.76

Cell: 11.6109 11.6109 11.4392 Å, 109.20 109.20 109.80°
Closest atoms and distances in Å follow each position.
Fractional coordinates of all 29 atoms:
K  0.0000  0.0000  0.0000  6 Cd 3.73-3.76, 4 K 3.74-3.83
K  0.0013  0.0013  0.6665  11 Cd 3.73-3.79, 4 K 3.81-3.83, 1 In 3.86
K  0.0013  0.5865  0.9690  7 K 3.75-4.12, 5 Cd 3.90-4.11
K  0.0020  0.3296  0.6668  5 Cd 3.66-3.72, 4 K 3.74-3.81, 1 In 3.75
K  0.0029  0.3074  0.2479  7 K 3.74-4.12, 5 Cd 3.93-4.17
K  0.2858  0.7017  0.3661  7 K 3.74-4.11, 5 Cd 3.91-4.18
K  0.3022  0.5863  0.6673  7 K 3.74-4.10, 4 Cd 3.92-4.16, 1 In 3.97
K  0.3074  0.0029  0.2479  7 K 3.74-4.12, 5 Cd 3.93-4.17
K  0.3296  0.0020  0.6668  5 Cd 3.66-3.72, 4 K 3.74-3.81, 1 In 3.75
K  0.4163  0.7178  0.0811  7 K 3.73-4.11, 1 In 3.89, 4 Cd 3.92-4.17
K  0.4174  0.4174  0.3835  7 K 3.77-4.11, 5 Cd 3.91-4.16
K  0.5863  0.3022  0.6673  7 K 3.74-4.10, 4 Cd 3.92-4.16, 1 In 3.97
K  0.5865  0.0013  0.9690  7 K 3.75-4.12, 5 Cd 3.90-4.11
K  0.6735  0.6735  0.3342  6 Cd 3.70-3.71, 4 K 3.73-3.82
K  0.6913  0.6913  0.9407  7 K 3.78-4.12, 4 Cd 3.94-3.96, 1 In 4.03
K  0.7017  0.2858  0.3661  7 K 3.74-4.11, 5 Cd 3.91-4.18
K  0.7178  0.4163  0.0811  7 K 3.73-4.11, 1 In 3.89, 4 Cd 3.92-4.17
Cd  0.0018  0.6627  0.4956  3 Cd 3.19-3.23
Cd  0.0028  0.8331  0.3225  3 Cd 3.23-3.27
Cd  0.1701  0.8303  0.8357  3 Cd 3.19-3.25
Cd  0.1720  0.3422  0.0059  1 In 3.21, 2 Cd 3.23-3.24
Cd  0.1776  0.1776  0.5052  1 In 3.15, 2 Cd 3.27
Cd  0.3422  0.1720  0.0059  1 In 3.21, 2 Cd 3.23-3.24
Cd  0.6596  0.8277  0.6651  3 Cd 3.19-3.25
Cd  0.6627  0.0018  0.4956  3 Cd 3.19-3.23
Cd  0.8277  0.6596  0.6651  3 Cd 3.19-3.25
Cd  0.8303  0.1701  0.8357  3 Cd 3.19-3.25
Cd  0.8331  0.0028  0.3225  3 Cd 3.23-3.27
In  0.3485  0.3485  0.8407  3 Cd 3.15-3.21